# 1
# KY2Sc

KY2Sc after structural relaxation (PBE, the Alexandria database).

## Properties
* density: 3.15 g cm⁻³
* ΔE_f: 0.48 eV/atom
* DOS(E_F): 6.33 states/eV per cell
* space-group type: Immm

Cell and atoms, written as POSCAR:
```
KY2Sc
1.0
-1.8312 3.0921 6.0934
1.8312 -3.0921 6.0934
1.8312 3.0921 -6.0934
K Y Sc
1 2 1
direct
0.0000 0.0000 0.0000 K
0.2723 0.7723 0.5000 Y
0.7277 0.2277 0.5000 Y
0.5000 0.5000 0.0000 Sc
```

---

# 2
# K3In2H8

K3In2H8 after structural relaxation (PBE, the Alexandria database).

## Properties
* density: 2.62 g cm⁻³
* DOS(E_F): 2.79 states/eV per cell
* energy: -2.748 eV per atom
* space-group type: R-3m

Cell and atoms, written as POSCAR:
```
K3In2H8
1.0
3.0475 1.7595 7.0056
-3.0475 1.7595 7.0056
0.0000 -3.5190 7.0056
K In H
3 2 8
direct
0.0000 0.0000 0.0000 K
0.2064 0.2064 0.2064 K
0.7936 0.7936 0.7936 K
0.4205 0.4205 0.4205 In
0.5795 0.5795 0.5795 In
0.2183 0.7380 0.7380 H
0.2620 0.2620 0.7817 H
0.2620 0.7817 0.2620 H
0.3334 0.3334 0.3334 H
0.6666 0.6666 0.6666 H
0.7380 0.2183 0.7380 H
0.7380 0.7380 0.2183 H
0.7817 0.2620 0.2620 H
```

---

# 3
# Sm3AlTl4Se8

Sm3AlTl4Se8 after structural relaxation (PBE, the Alexandria database).

## Properties
* density: 6.82 g cm⁻³
* DOS(E_F): 0.33 states/eV per cell
* ΔE_f (raw): -1.16 eV/atom
* space-group type: R-3m

Cell and atoms, written as POSCAR:
```
Sm3AlTl4Se8
1.0
4.1788 2.4126 7.7591
-4.1788 2.4126 7.7591
0.0000 -4.8252 7.7591
Sm Al Tl Se
3 1 4 8
direct
0.0000 0.5000 0.5000 Sm
0.5000 0.0000 0.5000 Sm
0.5000 0.5000 0.0000 Sm
0.0000 0.0000 0.0000 Al
0.0000 0.0000 0.5000 Tl
0.0000 0.5000 0.0000 Tl
0.5000 0.0000 0.0000 Tl
0.5000 0.5000 0.5000 Tl
0.2189 0.2189 0.7593 Se
0.2189 0.7593 0.2189 Se
0.2407 0.7811 0.7811 Se
0.2628 0.2628 0.2628 Se
0.7372 0.7372 0.7372 Se
0.7593 0.2189 0.2189 Se
0.7811 0.2407 0.7811 Se
0.7811 0.7811 0.2407 Se
```

---

# 4
# Re3Ag2

Re3Ag2 after structural relaxation (PBE, the Alexandria database).

## Properties
* density: 16.10 g cm⁻³
* ΔE_f: 0.46 eV/atom
* DOS(E_F): 3.78 states/eV per cell
* space-group type: R-3m

Cell and atoms, written as POSCAR:
```
Re3Ag2
1.0
1.3896 0.8023 11.9406
-1.3896 0.8023 11.9406
0.0000 -1.6046 11.9406
Re Ag
3 2
direct
0.0000 0.0000 0.0000 Re
0.1959 0.1959 0.1959 Re
0.8041 0.8041 0.8041 Re
0.4009 0.4009 0.4009 Ag
0.5991 0.5991 0.5991 Ag
```

---

# 5
# CsScSi2C

CsScSi2C after structural relaxation (PBE, the Alexandria database).

## Properties
* density: 2.47 g cm⁻³
* DOS(E_F): 5.68 states/eV per cell
* ΔE_f (raw): 3.26 eV/atom
* space-group type: P4/mmm

Cell and atoms, written as POSCAR:
```
CsScSi2C
1.0
5.5642 0.0000 0.0000
0.0000 5.5642 0.0000
0.0000 0.0000 5.3377
Cs Sc Si C
1 1 2 1
direct
0.0000 0.0000 0.0000 Cs
0.0000 0.0000 0.5000 Sc
0.0000 0.5000 0.0000 Si
0.5000 0.0000 0.0000 Si
0.5000 0.5000 0.5000 C
```

---

# 6
# DyB2Ir2

DyB2Ir2 after structural relaxation (PBE, the Alexandria database).

## Properties
* density: 9.87 g cm⁻³
* ΔE_f: -0.02 eV/atom
* DOS(E_F): 2.73 states/eV per cell
* space-group type: I4/mmm

Cell and atoms, written as POSCAR:
```
DyB2Ir2
1.0
-1.9956 1.9956 6.0078
1.9956 -1.9956 6.0078
1.9956 1.9956 -6.0078
Dy B Ir
1 2 2
direct
0.0000 0.0000 0.0000 Dy
0.1973 0.1973 0.0000 B
0.8027 0.8027 0.0000 B
0.2500 0.7500 0.5000 Ir
0.7500 0.2500 0.5000 Ir
```

---

# 7
# Ca2LaFe

Ca2LaFe after structural relaxation (PBE, the Alexandria database).

## Properties
* density: 3.67 g cm⁻³
* ΔE_f: 0.47 eV/atom
* DOS(E_F): 6.58 states/eV per cell
* space-group type: R-3m

Cell and atoms, written as POSCAR:
```
Ca2LaFe
1.0
1.8130 1.0468 10.9380
-1.8130 1.0468 10.9380
0.0000 -2.0935 10.9380
Ca La Fe
2 1 1
direct
0.2323 0.2323 0.2323 Ca
0.7677 0.7677 0.7677 Ca
0.0000 0.0000 0.0000 La
0.5000 0.5000 0.5000 Fe
```

---

# 8
# Al3ZnSb

Al3ZnSb after structural relaxation (PBE, the Alexandria database).

## Properties
* density: 4.06 g cm⁻³
* DOS(E_F): 1.98 states/eV per cell
* ΔE_f (raw): 0.39 eV/atom
* space-group type: Pm-3m

Cell and atoms, written as POSCAR:
```
Al3ZnSb
1.0
4.7864 0.0000 0.0000
0.0000 4.7864 0.0000
0.0000 0.0000 4.7864
Al Zn Sb
3 1 1
direct
0.0000 0.0000 0.5000 Al
0.0000 0.5000 0.0000 Al
0.5000 0.0000 0.0000 Al
0.0000 0.0000 0.0000 Zn
0.5000 0.5000 0.5000 Sb
```

---

# 9
# AlPdRu2

AlPdRu2 after structural relaxation (PBE, the Alexandria database).

## Properties
* density: 8.92 g cm⁻³
* ΔE_f: 0.36 eV/atom
* DOS(E_F): 10.74 states/eV per cell
* space-group type: I-42d

Cell and atoms, written as POSCAR:
```
AlPdRu2
1.0
-3.5227 3.5227 2.5176
3.5227 -3.5227 2.5176
3.5227 3.5227 -2.5176
Al Pd Ru
2 2 4
direct
0.0000 0.0000 0.0000 Al
0.7500 0.2500 0.5000 Al
0.2500 0.7500 0.5000 Pd
0.5000 0.5000 0.0000 Pd
0.1044 0.1250 0.4794 Ru
0.3750 0.8956 0.0206 Ru
0.6456 0.6250 0.5206 Ru
0.8750 0.3544 0.9794 Ru
```

---

# 10
# SnAsOsAuCl

SnAsOsAuCl after structural relaxation (PBE, the Alexandria database).

## Properties
* density: 9.44 g cm⁻³
* DOS(E_F): 1.99 states/eV per cell
* ΔE_f (raw): 0.10 eV/atom
* space-group type: Pm

Cell and atoms, written as POSCAR:
```
SnAsOsAuCl
1.0
5.4605 0.0000 0.0000
0.0000 3.5933 0.0000
-2.5091 0.0000 5.5273
Sn As Os Au Cl
1 1 1 1 1
direct
0.0000 0.0000 0.0000 Sn
0.8605 0.0000 0.4917 As
0.0577 0.5000 0.3537 Os
0.4849 0.5000 0.2194 Au
0.4464 0.5000 0.7306 Cl
```

---

# 11
# ErZrZn4

ErZrZn4 after structural relaxation (PBE, the Alexandria database).

## Properties
* density: 8.06 g cm⁻³
* ΔE_f: -0.27 eV/atom
* DOS(E_F): 6.11 states/eV per cell
* space-group type: F-43m

Cell and atoms, written as POSCAR:
```
ErZrZn4
1.0
0.0000 3.7703 3.7703
3.7703 0.0000 3.7703
3.7703 3.7703 0.0000
Er Zr Zn
1 1 4
direct
0.0000 0.0000 0.0000 Er
0.2500 0.2500 0.2500 Zr
0.1270 0.6243 0.6243 Zn
0.6243 0.1270 0.6243 Zn
0.6243 0.6243 0.1270 Zn
0.6243 0.6243 0.6243 Zn
```

---

# 12
# LiCaTl

LiCaTl after structural relaxation (PBE, the Alexandria database).

## Properties
* density: 5.31 g cm⁻³
* ΔE_f: -0.28 eV/atom
* DOS(E_F): 0.54 states/eV per cell
* space-group type: I4mm

Cell and atoms, written as POSCAR:
```
LiCaTl
1.0
-1.9253 1.9253 5.3056
1.9253 -1.9253 5.3056
1.9253 1.9253 -5.3056
Li Ca Tl
1 1 1
direct
0.0000 0.0000 0.0000 Li
0.3074 0.3074 0.0000 Ca
0.6239 0.6239 0.0000 Tl
```

---

# 13
# Nd6AgI8

Nd6AgI8 after structural relaxation (PBE, the Alexandria database).

## Properties
* density: 5.58 g cm⁻³
* DOS(E_F): 5.95 states/eV per cell
* ΔE_f (raw): -1.03 eV/atom
* space-group type: R-3

Cell and atoms, written as POSCAR:
```
Nd6AgI8
1.0
3.8251 2.2084 11.6710
-3.8251 2.2084 11.6710
0.0000 -4.4168 11.6710
Nd Ag I
6 1 8
direct
0.0516 0.3641 0.7380 Nd
0.2620 0.9484 0.6359 Nd
0.3641 0.7380 0.0516 Nd
0.6359 0.2620 0.9484 Nd
0.7380 0.0516 0.3641 Nd
0.9484 0.6359 0.2620 Nd
0.0000 0.0000 0.0000 Ag
0.1077 0.7657 0.4507 I
0.2343 0.5493 0.8923 I
0.3333 0.3333 0.3333 I
0.4507 0.1077 0.7657 I
0.5493 0.8923 0.2343 I
0.6667 0.6667 0.6667 I
0.7657 0.4507 0.1077 I
0.8923 0.2343 0.5493 I
```

---

# 14
# PmPuNiOs

PmPuNiOs after structural relaxation (PBE, the Alexandria database).

## Properties
* density: 13.12 g cm⁻³
* ΔE_f: -0.02 eV/atom
* DOS(E_F): 9.03 states/eV per cell
* space-group type: F-43m

Cell and atoms, written as POSCAR:
```
PmPuNiOs
1.0
0.0000 3.4306 3.4306
3.4306 0.0000 3.4306
3.4306 3.4306 0.0000
Pm Pu Ni Os
1 1 1 1
direct
0.0000 0.0000 0.0000 Pm
0.5000 0.5000 0.5000 Pu
0.7500 0.7500 0.7500 Ni
0.2500 0.2500 0.2500 Os
```

---

# 15
# Pm4Ga2Ir

Pm4Ga2Ir after structural relaxation (PBE, the Alexandria database).

## Properties
* density: 7.96 g cm⁻³
* ΔE_f: -0.46 eV/atom
* DOS(E_F): 5.39 states/eV per cell
* space-group type: C2/m

Cell and atoms, written as POSCAR:
```
Pm4Ga2Ir
1.0
8.2591 -2.1431 0.0000
8.2591 2.1431 0.0000
-1.8255 0.0000 5.3757
Pm Ga Ir
4 2 1
direct
0.0986 0.0986 0.0057 Pm
0.3760 0.3760 0.4706 Pm
0.6240 0.6240 0.5294 Pm
0.9014 0.9014 0.9943 Pm
0.2636 0.2636 0.8664 Ga
0.7364 0.7364 0.1336 Ga
0.0000 0.0000 0.5000 Ir
```

---

# 16
# KZrCr2

KZrCr2 after structural relaxation (PBE, the Alexandria database).

## Properties
* density: 3.88 g cm⁻³
* ΔE_f: 0.81 eV/atom
* DOS(E_F): 5.28 states/eV per cell
* space-group type: Pmmm

Cell and atoms, written as POSCAR:
```
KZrCr2
1.0
3.1529 0.0000 0.0000
0.0000 4.3066 0.0000
0.0000 0.0000 7.3771
K Zr Cr
1 1 2
direct
0.0000 0.0000 0.0000 K
0.0000 0.0000 0.5000 Zr
0.5000 0.5000 0.3717 Cr
0.5000 0.5000 0.6283 Cr
```

---

# 17
# SrB4C2

SrB4C2 after structural relaxation (PBE, the Alexandria database).

## Properties
* density: 2.87 g cm⁻³
* ΔE_f: 0.30 eV/atom
* DOS(E_F): 3.30 states/eV per cell
* space-group type: P4_2/mnm

Cell and atoms, written as POSCAR:
```
SrB4C2
1.0
6.1479 0.0000 0.0000
0.0000 6.1479 0.0000
0.0000 0.0000 4.7469
Sr B C
2 8 4
direct
0.0000 0.0000 0.0000 Sr
0.5000 0.5000 0.5000 Sr
0.0553 0.3813 0.5000 B
0.1187 0.5553 0.0000 B
0.3813 0.0553 0.5000 B
0.4447 0.8813 0.0000 B
0.5553 0.1187 0.0000 B
0.6187 0.9447 0.5000 B
0.8813 0.4447 0.0000 B
0.9447 0.6187 0.5000 B
0.1968 0.1968 0.5000 C
0.3032 0.6968 0.0000 C
0.6968 0.3032 0.0000 C
0.8032 0.8032 0.5000 C
```

---

# 18
# RbCeIrO6

RbCeIrO6 after structural relaxation (PBE, the Alexandria database).

## Properties
* density: 5.12 g cm⁻³
* DOS(E_F): 8.40 states/eV per cell
* ΔE_f (raw): -1.61 eV/atom
* space-group type: Imma

Cell and atoms, written as POSCAR:
```
RbCeIrO6
1.0
-3.7119 3.9350 5.7060
3.7119 -3.9350 5.7060
3.7119 3.9350 -5.7060
Rb Ce Ir O
2 2 2 12
direct
0.4036 0.1536 0.2500 Rb
0.5964 0.8464 0.7500 Rb
0.0000 0.5000 0.5000 Ce
0.5000 0.5000 0.0000 Ce
0.0000 0.0000 0.5000 Ir
0.0000 0.5000 0.0000 Ir
0.0532 0.8032 0.2500 O
0.0590 0.4308 0.2150 O
0.0590 0.8440 0.6283 O
0.2843 0.1560 0.7150 O
0.2843 0.5692 0.1283 O
0.3283 0.5783 0.7500 O
0.6717 0.4217 0.2500 O
0.7157 0.4308 0.8717 O
0.7157 0.8440 0.2850 O
0.9410 0.1560 0.3717 O
0.9410 0.5692 0.7850 O
0.9468 0.1968 0.7500 O
```

---

# 19
# YTlRh2

YTlRh2 after structural relaxation (PBE, the Alexandria database).

## Properties
* density: 10.83 g cm⁻³
* ΔE_f: -0.43 eV/atom
* DOS(E_F): 2.31 states/eV per cell
* space-group type: Pmmm

Cell and atoms, written as POSCAR:
```
YTlRh2
1.0
3.3359 0.0000 0.0000
0.0000 3.5786 0.0000
0.0000 0.0000 6.4114
Y Tl Rh
1 1 2
direct
0.0000 0.0000 0.0000 Y
0.0000 0.0000 0.5000 Tl
0.5000 0.5000 0.2587 Rh
0.5000 0.5000 0.7413 Rh
```

---

# 20
# LaPdRhAu

LaPdRhAu after structural relaxation (PBE, the Alexandria database).

## Properties
* density: 11.78 g cm⁻³
* ΔE_f: -0.66 eV/atom
* DOS(E_F): 2.44 states/eV per cell
* space-group type: Pmmm

Cell and atoms, written as POSCAR:
```
LaPdRhAu
1.0
3.9802 0.0000 0.0000
0.0000 4.3054 0.0000
0.0000 0.0000 4.4857
La Pd Rh Au
1 1 1 1
direct
0.0000 0.0000 0.0000 La
0.5000 0.0000 0.5000 Pd
0.5000 0.5000 0.0000 Rh
0.0000 0.5000 0.5000 Au
```